Model one:
{"formula": "MnPtW2", "functional": "meta-GGA SCAN", "state": "single point on PBEsol structure", "cell": [[3.8135, 0.0000, 0.0000], [0.0000, 3.8135, 0.0000], [0.0000, 0.0000, 3.9126]], "species": ["Mn", "Pt", "W", "W"], "frac_coords": [[0.0000, 0.0000, 0.0000], [0.5000, 0.5000, 0.0000], [0.0000, 0.5000, 0.5000], [0.5000, 0.0000, 0.5000]], "magnetic_moment_mub_per_atom": 0.35, "sg": "P4/mmm, No. 123"}

Model two:
{"formula": "MnPtW2", "functional": "meta-GGA SCAN", "state": "single point on PBEsol structure", "cell": [[3.1818, 0.0000, 0.0000], [0.0000, 3.1818, 0.0000], [0.0000, 0.0000, 5.7699]], "species": ["Mn", "Pt", "W", "W"], "frac_coords": [[0.0000, 0.0000, 0.0000], [0.5000, 0.5000, 0.2481], [0.0000, 0.0000, 0.5102], [0.5000, 0.5000, 0.7741]], "magnetic_moment_mub_per_atom": 0.82, "sg": "P4mm, No. 99"}

Model three:
{"formula": "MnPtW2", "functional": "meta-GGA SCAN", "state": "single point on PBEsol structure", "cell": [[2.6718, 0.0000, 0.0000], [0.0000, 4.4063, 0.0000], [-0.3303, 0.0000, 4.8771]], "species": ["Mn", "Pt", "W", "W"], "frac_coords": [[0.0000, 0.0000, 0.0000], [0.9853, 0.5000, 0.3091], [0.4038, 0.5000, 0.8230], [0.5528, 0.0000, 0.5092]], "magnetic_moment_mub_per_atom": 0.62, "sg": "Pm, No. 6"}

It turns out model one is the most stable, with the second structure 0.067 eV/atom higher.

Model one:
{"formula": "YMn2Pt", "functional": "meta-GGA SCAN", "state": "single point on PBEsol structure", "cell": [[1.4850, 0.8574, 9.1376], [-1.4850, 0.8574, 9.1376], [0.0000, -1.7148, 9.1376]], "species": ["Y", "Mn", "Mn", "Pt"], "frac_coords": [[0.0000, 0.0000, 0.0000], [0.2408, 0.2408, 0.2408], [0.7592, 0.7592, 0.7592], [0.5000, 0.5000, 0.5000]], "magnetic_moment_mub_per_atom": 2.07, "sg": "R-3m, No. 166"}

Model two:
{"formula": "YMn2Pt", "functional": "meta-GGA SCAN", "state": "single point on PBEsol structure", "cell": [[3.1367, 0.0000, 0.0000], [0.0000, 3.1367, 0.0000], [0.0000, 0.0000, 6.6807]], "species": ["Y", "Mn", "Mn", "Pt"], "frac_coords": [[0.0000, 0.0000, 0.0000], [0.0000, 0.0000, 0.4829], [0.5000, 0.5000, 0.3094], [0.5000, 0.5000, 0.7077]], "magnetic_moment_mub_per_atom": 0.22, "sg": "P4mm, No. 99"}

It turns out model two is the most stable, with the second structure 0.550 eV/atom higher.